PBE Pa2NiBi, relaxed; E = -6.740 eV per atom; M_tot = 0.294 μB/f.u.; density = 12.541 g/cm³; energy of formation from the pure elements = 0.42 eV/atom; relative energy among the computed polymorphs = 579 meV per atom; calculated volume = 96.6 Å³ per cell
1.0
1.6107 0.9299 10.7521
-1.6107 0.9299 10.7521
0.0000 -1.8598 10.7521
Pa Ni Bi
2 1 1
direct
0.0772 0.0772 0.0772
0.9228 0.9228 0.9228
0.0000 0.0000 0.0000
0.5000 0.5000 0.5000